Below is a relaxed structure of CdCoBi2O6, with properties calculated at the PBE with a Hubbard U level.

It has space group R3 (No. 146, hexagonal axes), with a = 5.6628 Å, b = 5.6628 Å, c = 14.6165 Å, α = 90.00°, β = 90.00° and γ = 120.00°. The inequivalent atoms are Cd at (0.0000, 0.0000, 0.0000), Co at (0.0000, 0.0000, 0.4779), Bi at (0.0000, 0.0000, 0.2674), Bi at (0.0000, 0.0000, 0.7813), O at (0.0087, 0.4059, 0.2147) and O at (0.0796, 0.6872, 0.0608).

The calculation puts the total energy at -160.4 eV for the cell shown. As for the density of states at the Fermi level: 3.72 states/eV/f.u.